# 1
Density functional theory data (PBE) for a geometry-optimized YHo2Mg structure.

```
YHo2Mg
1.0
3.588 0.000 0.000
0.000 3.588 0.000
0.000 0.000 9.176
Y Ho Mg
1 2 1
Direct
0.000 0.000 0.000
0.500 0.500 0.267
0.500 0.500 0.733
0.000 0.000 0.500
```

Energy above the lowest structure with this stoichiometry = 0.23 kcal/mol of atoms
Space-group type = P4/mmm
Formation energy = -0.09 eV/f.u.
DOS(E_F) = 1.367 states/eV/atom
Raw total energy = -4.326 eV per atom

# 2
Density functional theory data (PBE) for a geometry-optimized Y2HoMg8 structure.

```
Y2HoMg8
1.0
7.965 -2.519 0.000
7.965 2.519 0.000
-2.336 0.000 6.938
Y Ho Mg
2 1 8
Direct
0.222 0.222 0.141
0.778 0.778 0.859
0.500 0.500 0.500
0.026 0.026 0.218
0.141 0.141 0.651
0.324 0.324 0.606
0.411 0.411 0.037
0.589 0.589 0.963
0.676 0.676 0.394
0.859 0.859 0.349
0.974 0.974 0.782
```

Space-group type = C2/m
Formation energy = -0.48 eV/f.u.
DOS(E_F) = 0.549 states/eV/atom
Raw total energy = -2.795 eV per atom

# 3
Density functional theory data (PBE) for a geometry-optimized YHo2Mg structure.

```
YHo2Mg
1.0
3.567 -3.572 0.000
3.567 3.572 0.000
-3.554 0.000 9.259
Y Ho Mg
2 4 2
Direct
0.132 0.132 0.265
0.868 0.868 0.735
0.000 0.500 0.000
0.369 0.369 0.738
0.500 0.000 0.000
0.631 0.631 0.262
0.250 0.750 0.500
0.750 0.250 0.500
```

Energy above the lowest structure with this stoichiometry = 0.00 kcal/mol of atoms
Space-group type = C2/m
Formation energy = -0.13 eV/f.u.
DOS(E_F) = 1.078 states/eV/atom
Raw total energy = -4.336 eV per atom

# 4
Density functional theory data (PBE) for a geometry-optimized YHoMg2 structure.

```
YHoMg2
1.0
1.724 0.995 11.007
-1.724 0.995 11.007
0.000 -1.990 11.007
Y Ho Mg
1 1 2
Direct
0.000 0.000 0.000
0.831 0.831 0.831
0.416 0.416 0.416
0.582 0.582 0.582
```

Space-group type = R3m
Formation energy = 0.21 eV/f.u.
DOS(E_F) = 1.237 states/eV/atom
Raw total energy = -3.504 eV per atom

# 5
Density functional theory data (PBE) for a geometry-optimized Y3Ho2Mg2 structure.

```
Y3Ho2Mg2
1.0
2.615 -11.492 0.000
2.615 11.492 0.000
0.000 0.000 3.477
Y Ho Mg
3 2 2
Direct
0.000 0.000 0.000
0.150 0.850 0.000
0.850 0.150 0.000
0.288 0.712 0.500
0.712 0.288 0.500
0.431 0.569 0.500
0.569 0.431 0.500
```

Space-group type = Cmmm
Formation energy = 0.21 eV/f.u.
DOS(E_F) = 1.039 states/eV/atom
Raw total energy = -4.504 eV per atom

# 6
Density functional theory data (PBE) for a geometry-optimized Y8HoMg2 structure.

```
Y8HoMg2
1.0
4.404 -7.715 0.000
4.404 7.715 0.000
-2.383 0.000 5.134
Y Ho Mg
8 1 2
Direct
0.096 0.320 0.626
0.214 0.786 0.000
0.320 0.096 0.626
0.403 0.403 0.203
0.597 0.597 0.797
0.680 0.904 0.374
0.786 0.214 0.000
0.904 0.680 0.374
0.000 0.000 0.000
0.307 0.693 0.500
0.693 0.307 0.500
```

Energy above the lowest structure with this stoichiometry = 2.97 kcal/mol of atoms
Space-group type = C2/m
Formation energy = 1.47 eV/f.u.
DOS(E_F) = 1.435 states/eV/atom
Raw total energy = -5.274 eV per atom